Record 1
First-principles (PBE) data for crystalline La4Pr5Dy at its relaxed geometry, as listed in the Alexandria database.

As for the formation energy: 0.020 eV/atom. Its energy above the most stable polymorph in this dataset is 0 meV/atom.

The structure belongs to space group P4/mmm (No. 123); the cell edges are 3.718, 3.718 and 26.181 Å and the angles 90.00°, 90.00° and 90.00°. Symmetry generates all atoms from La at (0.000, 0.000, 0.101), La at (0.000, 0.000, 0.303), Pr at (0.500, 0.500, 0.000), Pr at (0.500, 0.500, 0.202), Pr at (0.500, 0.500, 0.404) and Dy at (0.000, 0.000, 0.500).

=====

Record 2
First-principles (PBE) data for crystalline BeCr2Ag at its relaxed geometry, as listed in the Alexandria database.

As for the formation energy: 0.236 eV/atom.

The structure belongs to space group P4mm (No. 99); the cell edges are 2.932, 2.932 and 5.930 Å and the angles 90.00°, 90.00° and 90.00°. Symmetry generates all atoms from Be at (0.000, 0.000, 0.000), Cr at (0.000, 0.000, 0.584), Cr at (0.500, 0.500, 0.776) and Ag at (0.500, 0.500, 0.248).

=====

Record 3
First-principles (PBE) data for crystalline ScSb3F at its relaxed geometry, as listed in the Alexandria database.

The formation energy without anion corrections comes out at -2.19 eV/f.u. Its energy above the most stable polymorph in this dataset is 0 meV/atom.

The structure belongs to space group Pm-3m (No. 221); the cell edges are 4.896, 4.896 and 4.896 Å and the angles 90.00°, 90.00° and 90.00°. Symmetry generates all atoms from Sc at (0.000, 0.000, 0.000), Sb at (0.000, 0.500, 0.500) and F at (0.500, 0.500, 0.500).

=====

Record 4
First-principles (PBE) data for crystalline BaU3Pd4Se12 at its relaxed geometry, as listed in the Alexandria database.

The formation energy without anion corrections comes out at -12.04 eV/f.u.

The structure belongs to space group R32 (No. 155, hexagonal axes); the cell edges are 14.2039, 14.2039 and 10.5624 Å and the angles 90.00°, 90.00° and 120.00°. Symmetry generates all atoms from Ba at (0.0000, 0.0000, 0.0000), U at (0.0000, 0.5710, 0.0000), Pd at (0.0000, 0.0000, 0.5000), Pd at (0.0000, 0.4115, 0.5000), Se at (0.0000, 0.5854, 0.5000), Se at (0.0000, 0.8315, 0.5000) and Se at (0.0637, 0.2095, 0.1924).

=====

Record 5
First-principles (PBE) data for crystalline Ca2PrYS4 at its relaxed geometry, as listed in the Alexandria database.

The formation energy without anion corrections comes out at -16.40 eV/f.u.

The structure belongs to space group P2/m (No. 10); the cell edges are 6.925, 3.993 and 7.035 Å and the angles 90.00°, 109.09° and 90.00°. Symmetry generates all atoms from Ca at (0.000, 0.000, 0.000), Ca at (0.500, 0.500, 0.000), Pr at (0.000, 0.500, 0.500), Y at (0.500, 0.000, 0.500), S at (0.258, 0.500, 0.251) and S at (0.260, 0.000, 0.755).

=====

Record 6
First-principles (PBE) data for crystalline Cu2B2Rh at its relaxed geometry, as listed in the Alexandria database.

As for the formation energy: 0.141 eV/atom. Its energy above the most stable polymorph in this dataset is 0 meV/atom.

The structure belongs to space group P4/mbm (No. 127); the cell edges are 5.588, 5.588 and 3.190 Å and the angles 90.00°, 90.00° and 90.00°. Symmetry generates all atoms from Cu at (0.169, 0.331, 0.000), B at (0.112, 0.612, 0.500) and Rh at (0.000, 0.000, 0.500).

=====

Record 7
First-principles (PBE) data for crystalline Ac2DyTe2Se2 at its relaxed geometry, as listed in the Alexandria database.

The formation energy without anion corrections comes out at -10.93 eV/f.u.

The structure belongs to space group I4/mmm (No. 139); the cell edges are 5.312, 5.312 and 16.825 Å and the angles 90.00°, 90.00° and 90.00°. Symmetry generates all atoms from Ac at (0.000, 0.000, 0.124), Dy at (0.000, 0.000, 0.500), Te at (0.000, 0.000, 0.319) and Se at (0.000, 0.500, 0.000).

=====

Record 8
First-principles (PBE) data for crystalline TmSn2 at its relaxed geometry, as listed in the Alexandria database.

As for the formation energy: -0.541 eV/atom.

The structure belongs to space group P2_1/m (No. 11); the cell edges are 4.396, 4.326 and 8.395 Å and the angles 90.00°, 105.09° and 90.00°. Symmetry generates all atoms from Tm at (0.099, 0.250, 0.197), Sn at (0.252, 0.750, 0.503) and Sn at (0.435, 0.250, 0.871).

=====

Record 9
First-principles (PBE) data for crystalline Pa8FeCo5 at its relaxed geometry, as listed in the Alexandria database.

As for the formation energy: -0.249 eV/atom.

The structure belongs to space group I-4 (No. 82); the cell edges are 8.089, 8.089 and 8.389 Å and the angles 90.00°, 90.00° and 90.00°. Symmetry generates all atoms from Pa at (0.047, 0.190, 0.182), Pa at (0.054, 0.304, 0.567), Fe at (0.000, 0.000, 0.500), Co at (0.000, 0.500, 0.250) and Co at (0.130, 0.254, 0.876).

=====

Record 10
First-principles (PBE) data for crystalline SmEr3S at its relaxed geometry, as listed in the Alexandria database.

The formation energy without anion corrections comes out at -3.15 eV/f.u.

The structure belongs to space group Pm-3m (No. 221); the cell edges are 5.270, 5.270 and 5.270 Å and the angles 90.00°, 90.00° and 90.00°. Symmetry generates all atoms from Sm at (0.000, 0.000, 0.000), Er at (0.000, 0.500, 0.500) and S at (0.500, 0.500, 0.500).

=====

Record 11
First-principles (PBE) data for crystalline PmNiAgPd at its relaxed geometry, as listed in the Alexandria database.

As for the formation energy: -0.276 eV/atom.

The structure belongs to space group F-43m (No. 216); the cell edges are 6.696, 6.696 and 6.696 Å and the angles 90.00°, 90.00° and 90.00°. Symmetry generates all atoms from Pm at (0.000, 0.000, 0.000), Ni at (0.250, 0.250, 0.750), Ag at (0.000, 0.000, 0.500) and Pd at (0.250, 0.250, 0.250).

=====

Record 12
First-principles (PBE) data for crystalline La3Tb4Sm5 at its relaxed geometry, as listed in the Alexandria database.

As for the formation energy: 0.223 eV/atom. Its energy above the most stable polymorph in this dataset is 202 meV/atom.

The structure belongs to space group C2/m (No. 12); the cell edges are 16.345, 6.030 and 9.390 Å and the angles 90.00°, 116.38° and 90.00°. Symmetry generates all atoms from La at (0.000, 0.000, 0.000), La at (0.206, 0.500, 0.220), Tb at (0.080, 0.500, 0.438), Tb at (0.207, 0.500, 0.870), Sm at (0.000, 0.500, 0.000), Sm at (0.075, 0.000, 0.699) and Sm at (0.173, 0.000, 0.394).

=====

Record 13
First-principles (PBE) data for crystalline TaCd2Ga at its relaxed geometry, as listed in the Alexandria database.

As for the formation energy: 0.482 eV/atom.

The structure belongs to space group R-3m (No. 166, hexagonal axes); the cell edges are 2.9899, 2.9899 and 32.0261 Å and the angles 90.00°, 90.00° and 120.00°. Symmetry generates all atoms from Ta at (0.0000, 0.0000, 0.0000), Cd at (0.0000, 0.0000, 0.0902) and Ga at (0.0000, 0.0000, 0.5000).

=====

Record 14
First-principles (PBE) data for crystalline ScMnOs2 at its relaxed geometry, as listed in the Alexandria database.

As for the formation energy: 0.168 eV/atom.

The structure belongs to space group R-3m (No. 166, hexagonal axes); the cell edges are 2.8378, 2.8378 and 26.0548 Å and the angles 90.00°, 90.00° and 120.00°. Symmetry generates all atoms from Sc at (0.0000, 0.0000, 0.0000), Mn at (0.0000, 0.0000, 0.5000) and Os at (0.0000, 0.0000, 0.2441).

=====

Record 15
First-principles (PBE) data for crystalline Cs4MgTl4 at its relaxed geometry, as listed in the Alexandria database.

As for the formation energy: 0.101 eV/atom.

The structure belongs to space group I-42m (No. 121); the cell edges are 7.923, 7.923 and 16.652 Å and the angles 90.00°, 90.00° and 90.00°. Symmetry generates all atoms from Cs at (0.184, 0.184, 0.128), Mg at (0.000, 0.000, 0.500) and Tl at (0.155, 0.155, 0.361).

=====

Record 16
First-principles (PBE) data for crystalline CsCaOs2O8 at its relaxed geometry, as listed in the Alexandria database.

The formation energy without anion corrections comes out at -17.59 eV/f.u.

The structure belongs to space group P-3 (No. 147); the cell edges are 6.0895, 6.0895 and 8.4612 Å and the angles 90.00°, 90.00° and 120.00°. Symmetry generates all atoms from Cs at (0.0000, 0.0000, 0.0000), Ca at (0.0000, 0.0000, 0.5000), Os at (0.3333, 0.6667, 0.7404), O at (0.1684, 0.3455, 0.6721) and O at (0.3333, 0.6667, 0.9498).